{"formula": "AlFe2Co5B2", "functional": "PBE", "state": "optimized geometry", "final_energy_ev_per_fu": -72.2, "magmom_total_mub_per_cell": 18.5, "e_form_ev_per_atom": -0.27, "sg": "P4/mbm, No. 127", "lattice": [[-1.2890, 1.4778, -1.9671], [-0.9263, -7.0708, -4.7049], [-7.5108, -1.5275, 3.7742]], "species": ["Fe", "Fe", "Fe", "Fe", "B", "B", "B", "B", "Co", "Co", "Co", "Co", "Co", "Co", "Co", "Co", "Co", "Co", "Al", "Al"], "fractional_positions": [[0.0000, 0.6770, 0.1770], [0.0000, 0.1770, 0.3230], [0.0000, 0.3230, 0.8230], [0.0000, 0.8230, 0.6770], [0.0000, 0.8754, 0.3754], [0.0000, 0.3754, 0.1246], [0.0000, 0.6246, 0.8754], [0.0000, 0.1246, 0.6246], [0.5000, 0.2179, 0.0691], [0.5000, 0.9309, 0.2179], [0.5000, 0.2821, 0.5691], [0.5000, 0.0691, 0.7821], [0.5000, 0.5000, 0.0000], [0.5000, 0.0000, 0.5000], [0.5000, 0.7821, 0.9309], [0.5000, 0.4309, 0.2821], [0.5000, 0.5691, 0.7179], [0.5000, 0.7179, 0.4309], [0.0000, 0.5000, 0.5000], [0.0000, 0.0000, 0.0000]]}

=====

{"formula": "AlGa2Co5B2", "functional": "PBE", "state": "optimized geometry", "final_energy_ev_per_fu": -61.5, "magmom_total_mub_per_cell": 0.0, "e_form_ev_per_atom": -0.28, "sg": "P4/mbm, No. 127", "lattice": [[-0.1651, -1.8131, -2.1038], [5.8762, -5.0333, 3.8766], [-6.3323, -4.2133, 4.1282]], "species": ["Co", "Co", "Co", "Co", "Co", "Co", "Co", "Co", "Co", "Co", "Al", "Al", "B", "B", "B", "B", "Ga", "Ga", "Ga", "Ga"], "fractional_positions": [[0.5000, 0.9269, 0.2172], [0.5000, 0.5731, 0.7172], [0.5000, 0.4269, 0.2828], [0.5000, 0.5000, 0.0000], [0.5000, 0.0731, 0.7828], [0.5000, 0.2828, 0.5731], [0.5000, 0.0000, 0.5000], [0.5000, 0.2172, 0.0731], [0.5000, 0.7172, 0.4269], [0.5000, 0.7828, 0.9269], [0.0000, 0.5000, 0.5000], [0.0000, 0.0000, 0.0000], [0.0000, 0.6232, 0.8768], [0.0000, 0.3768, 0.1232], [0.0000, 0.1232, 0.6232], [0.0000, 0.8768, 0.3768], [0.0000, 0.3237, 0.8237], [0.0000, 0.8237, 0.6763], [0.0000, 0.6763, 0.1763], [0.0000, 0.1763, 0.3237]]}

=====

{"formula": "Al2GaCo5B2", "functional": "PBE", "state": "optimized geometry", "final_energy_ev_per_fu": -63.8, "magmom_total_mub_per_cell": 0.0, "e_form_ev_per_atom": -0.44, "sg": "P4/mbm, No. 127", "lattice": [[-1.1847, -2.5545, -0.2661], [1.9855, -1.7657, 8.1104], [-7.4911, 3.2104, 2.5328]], "species": ["B", "B", "B", "B", "Co", "Co", "Co", "Co", "Co", "Co", "Co", "Co", "Co", "Co", "Al", "Al", "Al", "Al", "Ga", "Ga"], "fractional_positions": [[0.0000, 0.3764, 0.1236], [0.0000, 0.8764, 0.3764], [0.0000, 0.6236, 0.8764], [0.0000, 0.1236, 0.6236], [0.5000, 0.2178, 0.0722], [0.5000, 0.0000, 0.5000], [0.5000, 0.5722, 0.7178], [0.5000, 0.4278, 0.2822], [0.5000, 0.2822, 0.5722], [0.5000, 0.5000, 0.0000], [0.5000, 0.0722, 0.7822], [0.5000, 0.7178, 0.4278], [0.5000, 0.7822, 0.9278], [0.5000, 0.9278, 0.2178], [0.0000, 0.8250, 0.6750], [0.0000, 0.1750, 0.3250], [0.0000, 0.3250, 0.8250], [0.0000, 0.6750, 0.1750], [0.0000, 0.0000, 0.0000], [0.0000, 0.5000, 0.5000]]}